*P*
{"formula": "La3Pm4Tm2", "functional": "PBE", "state": "relaxed", "cell": [[8.059, -5.903, 0.000], [8.059, 5.903, 0.000], [-0.696, 0.000, 6.475]], "species": ["La", "La", "La", "La", "La", "La", "Pm", "Pm", "Pm", "Pm", "Pm", "Pm", "Pm", "Pm", "Tm", "Tm", "Tm", "Tm"], "fractional_positions": [[0.039, 0.961, 0.750], [0.187, 0.693, 0.027], [0.307, 0.813, 0.473], [0.693, 0.187, 0.527], [0.813, 0.307, 0.973], [0.961, 0.039, 0.250], [0.135, 0.374, 0.106], [0.315, 0.480, 0.585], [0.374, 0.135, 0.606], [0.480, 0.315, 0.085], [0.520, 0.685, 0.915], [0.626, 0.865, 0.394], [0.685, 0.520, 0.415], [0.865, 0.626, 0.894], [0.028, 0.317, 0.579], [0.317, 0.028, 0.079], [0.683, 0.972, 0.921], [0.972, 0.683, 0.421]]}



*Q*
{"formula": "La3Pm4Tm2", "functional": "PBE", "state": "relaxed", "cell": [[5.867, -2.920, 0.000], [5.867, 2.920, 0.000], [-1.909, 0.000, 9.063]], "species": ["La", "La", "La", "Pm", "Pm", "Pm", "Pm", "Tm", "Tm"], "fractional_positions": [[0.000, 0.000, 0.000], [0.121, 0.121, 0.686], [0.879, 0.879, 0.314], [0.227, 0.227, 0.373], [0.321, 0.321, 0.040], [0.679, 0.679, 0.960], [0.773, 0.773, 0.627], [0.439, 0.439, 0.693], [0.561, 0.561, 0.307]]}



Most stable = *Q*



*P*
{"formula": "La5PmTm2", "functional": "PBE", "state": "relaxed", "cell": [[-1.823, 5.690, 6.741], [1.823, -5.690, 6.741], [1.823, 5.690, -6.741]], "species": ["La", "La", "La", "La", "La", "Pm", "Tm", "Tm"], "fractional_positions": [[0.000, 0.000, 0.000], [0.099, 0.369, 0.730], [0.361, 0.631, 0.730], [0.639, 0.369, 0.270], [0.901, 0.631, 0.270], [0.500, 0.000, 0.500], [0.259, 0.259, 0.000], [0.741, 0.741, 0.000]]}



*Q*
{"formula": "La5PmTm2", "functional": "PBE", "state": "relaxed", "cell": [[8.501, -5.059, 0.000], [8.501, 5.059, 0.000], [-1.258, 0.000, 6.608]], "species": ["La", "La", "La", "La", "La", "La", "La", "La", "La", "La", "Pm", "Pm", "Tm", "Tm", "Tm", "Tm"], "fractional_positions": [[0.058, 0.942, 0.750], [0.117, 0.292, 0.026], [0.292, 0.117, 0.526], [0.312, 0.503, 0.857], [0.497, 0.688, 0.643], [0.503, 0.312, 0.357], [0.688, 0.497, 0.143], [0.708, 0.883, 0.474], [0.883, 0.708, 0.974], [0.942, 0.058, 0.250], [0.000, 0.500, 0.500], [0.500, 0.000, 0.000], [0.174, 0.664, 0.356], [0.336, 0.826, 0.144], [0.664, 0.174, 0.856], [0.826, 0.336, 0.644]]}



Most stable = *P*



*P*
{"formula": "La2Pm3Tm6", "functional": "PBE", "state": "relaxed", "cell": [[-2.385, 2.385, 16.588], [2.385, -2.385, 16.588], [2.385, 2.385, -16.588]], "species": ["La", "La", "Pm", "Pm", "Pm", "Tm", "Tm", "Tm", "Tm", "Tm", "Tm"], "fractional_positions": [[0.046, 0.046, 0.000], [0.954, 0.954, 0.000], [0.295, 0.295, 0.000], [0.500, 0.500, 0.000], [0.705, 0.705, 0.000], [0.122, 0.622, 0.500], [0.192, 0.192, 0.000], [0.378, 0.878, 0.500], [0.622, 0.122, 0.500], [0.808, 0.808, 0.000], [0.878, 0.378, 0.500]]}



*Q*
{"formula": "La2Pm3Tm6", "functional": "PBE", "state": "relaxed", "cell": [[3.067, -5.320, 0.000], [3.067, 5.320, 0.000], [-2.053, 0.000, 11.543]], "species": ["La", "La", "Pm", "Pm", "Pm", "Tm", "Tm", "Tm", "Tm", "Tm", "Tm"], "fractional_positions": [[0.167, 0.833, 0.000], [0.833, 0.167, 0.000], [0.000, 0.000, 0.500], [0.336, 0.664, 0.500], [0.664, 0.336, 0.500], [0.083, 0.416, 0.747], [0.252, 0.252, 0.253], [0.416, 0.083, 0.747], [0.584, 0.917, 0.253], [0.748, 0.748, 0.747], [0.917, 0.584, 0.253]]}



Most stable = *Q*



*P*
{"formula": "La2Pm5Tm4", "functional": "PBE", "state": "relaxed", "cell": [[-1.763, 4.580, 11.799], [1.763, -4.580, 11.799], [1.763, 4.580, -11.799]], "species": ["La", "La", "Pm", "Pm", "Pm", "Pm", "Pm", "Tm", "Tm", "Tm", "Tm"], "fractional_positions": [[0.234, 0.234, 0.000], [0.766, 0.766, 0.000], [0.164, 0.360, 0.804], [0.444, 0.640, 0.804], [0.500, 0.000, 0.500], [0.556, 0.360, 0.196], [0.836, 0.640, 0.196], [0.097, 0.097, 0.000], [0.182, 0.500, 0.682], [0.818, 0.500, 0.318], [0.903, 0.903, 0.000]]}



*Q*
{"formula": "La2Pm5Tm4", "functional": "PBE", "state": "relaxed", "cell": [[8.892, -1.776, 0.000], [8.892, 1.776, 0.000], [-0.828, 0.000, 11.688]], "species": ["La", "La", "Pm", "Pm", "Pm", "Pm", "Pm", "Tm", "Tm", "Tm", "Tm"], "fractional_positions": [[0.218, 0.218, 0.354], [0.782, 0.782, 0.646], [0.000, 0.000, 0.000], [0.324, 0.324, 0.932], [0.406, 0.406, 0.464], [0.594, 0.594, 0.536], [0.676, 0.676, 0.068], [0.139, 0.139, 0.799], [0.469, 0.469, 0.744], [0.531, 0.531, 0.256], [0.861, 0.861, 0.201]]}



Most stable = *Q*



*P*
{"formula": "La3Pm4Y5", "functional": "PBE", "state": "relaxed", "cell": [[6.305, 0.000, 0.000], [0.012, 7.276, 0.000], [0.023, 0.024, 8.935]], "species": ["La", "La", "La", "Pm", "Pm", "Pm", "Pm", "Y", "Y", "Y", "Y", "Y"], "fractional_positions": [[0.000, 0.000, 0.000], [0.167, 0.252, 0.332], [0.833, 0.748, 0.668], [0.169, 0.750, 0.332], [0.332, 0.499, 0.667], [0.668, 0.501, 0.333], [0.831, 0.250, 0.668], [0.000, 0.500, 0.000], [0.334, 0.000, 0.668], [0.498, 0.749, 0.001], [0.502, 0.251, 0.999], [0.666, 0.000, 0.332]]}



*Q*
{"formula": "La3Pm4Y5", "functional": "PBE", "state": "relaxed", "cell": [[8.170, -3.024, 0.000], [8.170, 3.024, 0.000], [-4.206, 0.000, 8.464]], "species": ["La", "La", "La", "Pm", "Pm", "Pm", "Pm", "Y", "Y", "Y", "Y", "Y"], "fractional_positions": [[0.000, 0.000, 0.000], [0.292, 0.292, 0.772], [0.708, 0.708, 0.228], [0.292, 0.292, 0.122], [0.417, 0.417, 0.556], [0.583, 0.583, 0.444], [0.708, 0.708, 0.878], [0.073, 0.073, 0.699], [0.172, 0.172, 0.391], [0.500, 0.500, 0.000], [0.828, 0.828, 0.609], [0.927, 0.927, 0.301]]}



Most stable = *P*



*P*
{"formula": "La2PmY6", "functional": "PBE", "state": "relaxed", "cell": [[6.515, -7.188, 0.000], [6.515, 7.188, 0.000], [-1.383, 0.000, 6.509]], "species": ["La", "La", "La", "La", "Pm", "Pm", "Y", "Y", "Y", "Y", "Y", "Y", "Y", "Y", "Y", "Y", "Y", "Y"], "fractional_positions": [[0.111, 0.168, 0.376], [0.168, 0.111, 0.876], [0.832, 0.889, 0.124], [0.889, 0.832, 0.624], [0.383, 0.617, 0.750], [0.617, 0.383, 0.250], [0.042, 0.444, 0.734], [0.159, 0.776, 0.999], [0.224, 0.841, 0.501], [0.280, 0.453, 0.188], [0.444, 0.042, 0.234], [0.453, 0.280, 0.688], [0.547, 0.720, 0.312], [0.556, 0.958, 0.766], [0.720, 0.547, 0.812], [0.776, 0.159, 0.499], [0.841, 0.224, 0.001], [0.958, 0.556, 0.266]]}



*Q*
{"formula": "La2PmY6", "functional": "PBE", "state": "relaxed", "cell": [[10.853, 0.000, 0.000], [0.000, 10.853, 0.000], [0.000, 0.000, 5.145]], "species": ["La", "La", "La", "La", "Pm", "Pm", "Y", "Y", "Y", "Y", "Y", "Y", "Y", "Y", "Y", "Y", "Y", "Y"], "fractional_positions": [[0.166, 0.166, 0.000], [0.334, 0.666, 0.500], [0.666, 0.334, 0.500], [0.834, 0.834, 0.000], [0.000, 0.000, 0.500], [0.500, 0.500, 0.000], [0.002, 0.335, 0.500], [0.165, 0.502, 0.000], [0.167, 0.833, 0.000], [0.333, 0.333, 0.500], [0.335, 0.002, 0.500], [0.498, 0.835, 0.000], [0.502, 0.165, 0.000], [0.665, 0.998, 0.500], [0.667, 0.667, 0.500], [0.833, 0.167, 0.000], [0.835, 0.498, 0.000], [0.998, 0.665, 0.500]]}



Most stable = *Q*



*P*
{"formula": "LaPm2Y4", "functional": "PBE", "state": "relaxed", "cell": [[8.502, -1.794, 0.000], [8.502, 1.794, 0.000], [-4.400, 0.000, 7.713]], "species": ["La", "Pm", "Pm", "Y", "Y", "Y", "Y"], "fractional_positions": [[0.000, 0.000, 0.000], [0.069, 0.069, 0.430], [0.931, 0.931, 0.570], [0.293, 0.293, 0.705], [0.354, 0.354, 0.159], [0.646, 0.646, 0.841], [0.707, 0.707, 0.295]]}



*Q*
{"formula": "LaPm2Y4", "functional": "PBE", "state": "relaxed", "cell": [[1.795, 1.036, 21.316], [-1.795, 1.036, 21.316], [0.000, -2.072, 21.316]], "species": ["La", "Pm", "Pm", "Y", "Y", "Y", "Y"], "fractional_positions": [[0.000, 0.000, 0.000], [0.234, 0.234, 0.234], [0.766, 0.766, 0.766], [0.144, 0.144, 0.144], [0.288, 0.288, 0.288], [0.712, 0.712, 0.712], [0.856, 0.856, 0.856]]}



Most stable = *P*



*P*
{"formula": "La8Pm3Y2", "functional": "PBE", "state": "relaxed", "cell": [[7.395, -5.637, 0.000], [7.395, 5.637, 0.000], [-1.898, 0.000, 5.575]], "species": ["La", "La", "La", "La", "La", "La", "La", "La", "Pm", "Pm", "Pm", "Y", "Y"], "fractional_positions": [[0.077, 0.077, 0.229], [0.100, 0.563, 0.831], [0.339, 0.339, 0.377], [0.437, 0.900, 0.169], [0.563, 0.100, 0.831], [0.661, 0.661, 0.623], [0.900, 0.437, 0.169], [0.923, 0.923, 0.771], [0.246, 0.754, 0.500], [0.500, 0.500, 0.000], [0.754, 0.246, 0.500], [0.174, 0.174, 0.801], [0.826, 0.826, 0.199]]}



*Q*
{"formula": "La8Pm3Y2", "functional": "PBE", "state": "relaxed", "cell": [[10.366, -3.871, 0.000], [10.366, 3.871, 0.000], [-0.003, 0.000, 5.928]], "species": ["La", "La", "La", "La", "La", "La", "La", "La", "Pm", "Pm", "Pm", "Y", "Y"], "fractional_positions": [[0.098, 0.691, 0.999], [0.174, 0.174, 0.502], [0.309, 0.902, 0.001], [0.366, 0.366, 0.499], [0.634, 0.634, 0.501], [0.691, 0.098, 0.999], [0.826, 0.826, 0.498], [0.902, 0.309, 0.001], [0.218, 0.782, 0.500], [0.500, 0.500, 0.000], [0.782, 0.218, 0.500], [0.259, 0.259, 0.001], [0.741, 0.741, 0.999]]}



Most stable = *P*



*P*
{"formula": "LaPm7Y3", "functional": "PBE", "state": "relaxed", "cell": [[7.222, 0.000, 0.000], [-3.611, 6.254, 0.000], [0.000, 0.000, 8.750]], "species": ["La", "Pm", "Pm", "Pm", "Pm", "Pm", "Pm", "Pm", "Y", "Y", "Y"], "fractional_positions": [[0.000, 0.000, 0.000], [0.166, 0.333, 0.329], [0.166, 0.834, 0.329], [0.501, 0.001, 0.985], [0.501, 0.499, 0.985], [0.667, 0.333, 0.315], [0.667, 0.834, 0.329], [0.999, 0.499, 0.985], [0.334, 0.167, 0.655], [0.833, 0.167, 0.655], [0.833, 0.666, 0.655]]}



*Q*
{"formula": "LaPm7Y3", "functional": "PBE", "state": "relaxed", "cell": [[5.921, -5.086, 0.000], [5.921, 5.086, 0.000], [-0.635, 0.000, 6.456]], "species": ["La", "Pm", "Pm", "Pm", "Pm", "Pm", "Pm", "Pm", "Y", "Y", "Y"], "fractional_positions": [[0.000, 0.000, 0.000], [0.000, 0.000, 0.500], [0.076, 0.425, 0.759], [0.264, 0.264, 0.289], [0.425, 0.076, 0.759], [0.575, 0.924, 0.241], [0.736, 0.736, 0.711], [0.924, 0.575, 0.241], [0.330, 0.670, 0.500], [0.500, 0.500, 0.000], [0.670, 0.330, 0.500]]}



Most stable = *P*



*P*
{"formula": "La2PmY2", "functional": "PBE", "state": "relaxed", "cell": [[3.642, 0.000, 0.000], [-1.821, 3.154, 0.000], [0.000, 0.000, 15.019]], "species": ["La", "La", "Pm", "Y", "Y"], "fractional_positions": [[0.333, 0.667, 0.394], [0.667, 0.333, 0.606], [0.000, 0.000, 0.000], [0.333, 0.667, 0.806], [0.667, 0.333, 0.194]]}



*Q*
{"formula": "La2PmY2", "functional": "PBE", "state": "relaxed", "cell": [[4.433, -4.814, 0.000], [4.433, 4.814, 0.000], [-2.803, 0.000, 8.383]], "species": ["La", "La", "La", "La", "Pm", "Pm", "Y", "Y", "Y", "Y"], "fractional_positions": [[0.000, 0.000, 0.000], [0.000, 0.000, 0.500], [0.000, 0.500, 0.000], [0.500, 0.000, 0.500], [0.300, 0.700, 0.750], [0.700, 0.300, 0.250], [0.252, 0.442, 0.368], [0.442, 0.252, 0.868], [0.558, 0.748, 0.132], [0.748, 0.558, 0.632]]}



Most stable = *P*